This record from Alexandria describes an optimized crystal structure of RePPt2. The functional is PBEsol.

Cell and atoms, written as POSCAR:
```
RePPt2
1.0
-2.155 0.246 1.985
-2.874 -0.367 -3.076
2.505 -4.451 1.094
P Pt Re
1 2 1
Direct
0.500 0.000 0.000 P
0.790 0.790 0.580 Pt
0.210 0.210 0.420 Pt
0.000 0.500 0.000 Re
```

## Properties
**D(E_F)**: 3.84 states/eV per cell
**Energy relative to the elements**: 0.04 eV per atom
**ΔE to the lowest computed polymorph**: 0.000 eV per atom

=====

This record from Alexandria describes an optimized crystal structure of Li3Mg. The functional is PBEsol.

Cell and atoms, written as POSCAR:
```
Li3Mg
1.0
-0.646 -1.425 -4.557
3.810 -0.758 -2.850
1.174 -4.486 -1.310
Li Mg
3 1
Direct
0.250 0.250 0.250 Li
0.750 0.750 0.750 Li
0.000 0.000 0.000 Li
0.500 0.500 0.500 Mg
```

## Properties
**D(E_F)**: 2.03 states/eV per cell
**Energy relative to the elements**: -0.03 eV per atom